1.
# BaTa2Mo

A relaxed BaTa2Mo crystal (PBE-GGA, Alexandria via LeMat-Bulk).

```
4
Lattice="1.6748 -2.5319 0.0000 1.6748 2.5319 0.0000 0.0000 0.0000 10.4357" Properties=species:S:1:pos:R:3 pbc="T T T"
Ba 0.0000 0.0000 0.0000
Ta 1.6748 0.0000 3.1633
Ta 1.6748 0.0000 7.2724
Mo 0.0000 0.0000 5.2178
```

Summary:
For the energy relative to the lowest polymorph listed for this composition, the calculation gives 0.1263 eV per atom. For the formation energy from the elements, the calculation gives 0.66 eV per atom.

2.
# CsLiPu2O8

A relaxed CsLiPu2O8 crystal (PBE-GGA, Alexandria via LeMat-Bulk).

```
12
Lattice="5.7951 0.0000 0.0000 -2.8976 5.0187 0.0000 0.0000 0.0000 6.8799" Properties=species:S:1:pos:R:3 pbc="T T T"
Cs 0.0000 0.0000 0.0000
Li 0.0000 0.0000 3.4400
Pu 0.0000 3.3458 3.0142
Pu 2.8976 1.6729 3.8657
O -0.7461 1.8769 4.2888
O -0.8991 4.7264 4.2888
O 0.0000 3.3458 1.1515
O 1.2524 1.5846 2.5911
O 1.6452 3.4342 4.2888
O 2.8976 1.6729 5.7284
O 3.7967 0.2923 2.5911
O 3.6436 3.1418 2.5911
```

Summary:
The value obtained for the formation energy without anion corrections is -24.5 eV per formula unit.

3.
# NaSi2PtO6

A relaxed NaSi2PtO6 crystal (PBE-GGA, Alexandria via LeMat-Bulk).

```
20
Lattice="5.2103 -4.7587 0.0000 5.2103 4.7587 0.0000 -1.7314 0.0000 5.0982" Properties=species:S:1:pos:R:3 pbc="T T T"
Na 3.9117 3.8353 3.8236
Na 4.7774 -3.8353 1.2745
Si 1.5572 0.8391 4.2504
Si 2.4230 -0.8391 1.7013
Si 6.2661 0.8391 3.3969
Si 7.1319 -0.8391 0.8478
Pt 4.7774 2.1828 1.2745
Pt 3.9117 -2.1828 3.8236
O 0.1131 0.9969 3.5293
O 2.4396 2.1900 4.4289
O 0.9788 -0.9969 0.9802
O 3.2509 0.2706 0.7420
O 2.3851 -0.2706 3.2911
O 5.3838 2.1900 3.2183
O 3.3054 -2.1900 1.8798
O 6.3040 0.2706 1.8071
O 5.4383 -0.2706 4.3562
O 7.7103 0.9969 4.1180
O 6.2495 -2.1900 0.6692
O 8.5760 -0.9969 1.5689
```

Summary:
The value obtained for the formation energy without anion corrections is -18.7 eV per formula unit.

4.
# BeCuHg3

A relaxed BeCuHg3 crystal (PBE-GGA, Alexandria via LeMat-Bulk).

```
5
Lattice="5.1108 0.0000 0.0000 0.0000 5.1108 0.0000 0.0000 0.0000 5.1108" Properties=species:S:1:pos:R:3 pbc="T T T"
Be 0.0000 0.0000 0.0000
Cu 2.5554 2.5554 2.5554
Hg 0.0000 2.5554 2.5554
Hg 2.5554 0.0000 2.5554
Hg 2.5554 2.5554 0.0000
```

Summary:
For the energy relative to the lowest polymorph listed for this composition, the calculation gives 0.2161 eV per atom. For the formation energy from the elements, the calculation gives 0.71 eV per atom.

5.
# Co2PtPb

A relaxed Co2PtPb crystal (PBE-GGA, Alexandria via LeMat-Bulk).

```
4
Lattice="-2.0548 2.0548 3.5738 2.0548 -2.0548 3.5738 2.0548 2.0548 -3.5738" Properties=species:S:1:pos:R:3 pbc="T T T"
Co 2.0548 0.0000 1.7869
Co 0.0000 2.0548 1.7869
Pt 0.0000 0.0000 0.0000
Pb 0.0000 0.0000 3.5738
```

Summary:
For the formation energy from the elements, the calculation gives 0.27 eV per atom.

6.
# Tb2HoFe

A relaxed Tb2HoFe crystal (PBE-GGA, Alexandria via LeMat-Bulk).

```
4
Lattice="3.3638 0.0000 0.0000 0.0000 3.3638 0.0000 0.0000 0.0000 8.9865" Properties=species:S:1:pos:R:3 pbc="T T T"
Tb 0.0000 0.0000 1.6217
Tb 0.0000 0.0000 7.3647
Ho 1.6819 1.6819 4.4932
Fe 1.6819 1.6819 0.0000
```

Summary:
For the energy relative to the lowest polymorph listed for this composition, the calculation gives 0.1232 eV per atom. For the formation energy from the elements, the calculation gives 0.12 eV per atom.

7.
# AcNiSb3

A relaxed AcNiSb3 crystal (PBE-GGA, Alexandria via LeMat-Bulk).

```
5
Lattice="5.1341 0.0000 0.0000 0.0000 5.1341 0.0000 0.0000 0.0000 5.1341" Properties=species:S:1:pos:R:3 pbc="T T T"
Ac 0.0000 0.0000 0.0000
Ni 2.5670 2.5670 2.5670
Sb 0.0000 2.5670 2.5670
Sb 2.5670 0.0000 2.5670
Sb 2.5670 2.5670 0.0000
```

Summary:
For the energy relative to the lowest polymorph listed for this composition, the calculation gives 0.2156 eV per atom. The value obtained for the formation energy without anion corrections is -1.7 eV per formula unit.

8.
# AsRhPb2

A relaxed AsRhPb2 crystal (PBE-GGA, Alexandria via LeMat-Bulk).

```
8
Lattice="-3.1814 3.1814 6.2063 3.1814 -3.1814 6.2063 3.1814 3.1814 -6.2063" Properties=species:S:1:pos:R:3 pbc="T T T"
As 0.0000 0.0000 0.0000
As 0.0000 3.1814 3.1032
Rh 3.1814 0.0000 3.1032
Rh 0.0000 0.0000 6.2063
Pb 1.5907 -1.4410 4.6548
Pb 1.7404 1.5907 1.5516
Pb 1.5907 4.6224 -1.5516
Pb 1.4410 1.5907 7.7579
```

Summary:
For the formation energy from the elements, the calculation gives 0.30 eV per atom.